1.
First-principles (PBE) data for an optimized crystal structure of Ca3HfMn, as listed in the Alexandria database.

Output
Energy relative to the lowest polymorph listed for this composition in eV/atom: 0.205
ΔE_f in eV/atom: 1.32

Lattice parameters (Å, degrees): 5.7430 5.7430 5.7430 90.00 90.00 90.00
Element x y z (fractional)
Ca (0.0000, 0.0000, 0.5000)
Ca (0.0000, 0.5000, 0.0000)
Ca (0.5000, 0.0000, 0.0000)
Hf (0.0000, 0.0000, 0.0000)
Mn (0.5000, 0.5000, 0.5000)

***

2.
First-principles (PBE) data for an optimized crystal structure of Ca3HfMn, as listed in the Alexandria database.

Output
Energy relative to the lowest polymorph listed for this composition in eV/atom: 0.000
ΔE_f in eV/atom: 1.12

Lattice parameters (Å, degrees): 5.2822 5.2822 5.2822 90.00 90.00 90.00
Element x y z (fractional)
Ca (0.0000, 0.0000, 0.5000)
Ca (0.0000, 0.5000, 0.0000)
Ca (0.5000, 0.0000, 0.0000)
Hf (0.5000, 0.5000, 0.5000)
Mn (0.0000, 0.0000, 0.0000)

***

3.
First-principles (PBE) data for an optimized crystal structure of CaHf2MnN4, as listed in the Alexandria database.

Output
Final energy in eV/cell: -149.13

Lattice parameters (Å, degrees): 5.7135 5.7135 11.1322 90.00 90.00 147.39
Element x y z (fractional)
Ca (0.1084, 0.8916, 0.7500)
Ca (0.8916, 0.1084, 0.2500)
Hf (0.3665, 0.6335, 0.5448)
Hf (0.3665, 0.6335, 0.9552)
Hf (0.6335, 0.3665, 0.0448)
Hf (0.6335, 0.3665, 0.4552)
Mn (0.1575, 0.8425, 0.2500)
Mn (0.8425, 0.1575, 0.7500)
N (0.0000, 0.0000, 0.0000)
N (0.0000, 0.0000, 0.5000)
N (0.2616, 0.7384, 0.1140)
N (0.2616, 0.7384, 0.3860)
N (0.4249, 0.5751, 0.7500)
N (0.5751, 0.4249, 0.2500)
N (0.7384, 0.2616, 0.6140)
N (0.7384, 0.2616, 0.8860)

***

4.
First-principles (PBE) data for an optimized crystal structure of NaCaHf2Mn, as listed in the Alexandria database.

Output
ΔE_f in eV/atom: 0.52

Lattice parameters (Å, degrees): 4.7514 4.7514 5.7029 90.00 90.00 90.00
Element x y z (fractional)
Na (0.0000, 0.0000, 0.0000)
Ca (0.5000, 0.5000, 0.0000)
Hf (0.0000, 0.5000, 0.5000)
Hf (0.5000, 0.0000, 0.5000)
Mn (0.0000, 0.0000, 0.5000)

***

Number 1: magnetization 4.3 μB/f.u.. Number 2: magnetization 0.0 μB/f.u.. Number 3: magnetization 0.0 μB/f.u.. Number 4: magnetization 0.0 μB/f.u..